Record 1
# PBE BiIO4F, optimized geometry
# ρ ... 5150 kg/m³
# Formation energy (no corrections) ... -0.754 eV per atom
# Total magnetization ... 0.00 μB per cell
# DFT total energy ... -4.6305 eV/atom
data_BiIO4F
_chemical_formula_sum 'Bi2 I2 O8 F2'
_space_group_name_H-M_alt 'P 1'
_space_group_IT_number 1
_space_group_name_Hall 'P 1'
_cell_length_a 6.150
_cell_length_b 6.150
_cell_length_c 7.841
_cell_angle_alpha 74.15
_cell_angle_beta 74.15
_cell_angle_gamma 76.22
loop_
_atom_site_label
_atom_site_fract_x
_atom_site_fract_y
_atom_site_fract_z
Bi1 0.202 0.202 0.850
Bi2 0.798 0.798 0.150
O1 0.245 0.245 0.551
O2 0.110 0.500 0.151
O3 0.500 0.890 0.849
O4 0.755 0.755 0.449
O5 0.500 0.110 0.151
O6 0.474 0.474 0.753
O7 0.890 0.500 0.849
O8 0.526 0.526 0.247
I1 0.330 0.330 0.289
I2 0.670 0.670 0.711
F1 0.972 0.972 0.850
F2 0.028 0.028 0.150



Record 2
# PBE BiIO2F, optimized geometry
# ρ ... 7556 kg/m³
# Formation energy (no corrections) ... 0.438 eV per atom
# Total magnetization ... 0.00 μB per cell
# DFT total energy ... -3.0058 eV/atom
data_BiIO2F
_chemical_formula_sum 'Bi1 I1 O2 F1'
_space_group_name_H-M_alt 'P 1'
_space_group_IT_number 1
_space_group_name_Hall 'P 1'
_cell_length_a 4.604
_cell_length_b 4.604
_cell_length_c 4.010
_cell_angle_alpha 90.00
_cell_angle_beta 90.00
_cell_angle_gamma 90.00
loop_
_atom_site_label
_atom_site_fract_x
_atom_site_fract_y
_atom_site_fract_z
O1 0.500 0.000 0.000
O2 0.000 0.500 0.000
F1 0.000 0.000 0.000
Bi1 0.500 0.500 0.500
I1 0.000 0.000 0.500



Record 3
# PBE Bi2PdIF, optimized geometry
# ρ ... 7308 kg/m³
# Formation energy (no corrections) ... -0.038 eV per atom
# Total magnetization ... 0.00 μB per cell
# DFT total energy ... -3.3128 eV/atom
data_Bi2PdIF
_chemical_formula_sum 'Bi2 Pd1 I1 F1'
_space_group_name_H-M_alt 'P 1'
_space_group_IT_number 1
_space_group_name_Hall 'P 1'
_cell_length_a 5.285
_cell_length_b 5.452
_cell_length_c 5.285
_cell_angle_alpha 90.00
_cell_angle_beta 90.00
_cell_angle_gamma 90.00
loop_
_atom_site_label
_atom_site_fract_x
_atom_site_fract_y
_atom_site_fract_z
F1 0.500 0.500 0.500
Bi1 0.500 0.000 0.000
Bi2 0.000 0.000 0.500
Pd1 0.000 0.000 0.000
I1 0.000 0.500 0.000



Record 4
# PBE Rb2BiIF6, optimized geometry
# ρ ... 4048 kg/m³
# Formation energy (no corrections) ... -2.061 eV per atom
# Total magnetization ... 0.69 μB per cell
# DFT total energy ... -3.9200 eV/atom
data_Rb2BiIF6
_chemical_formula_sum 'Rb2 Bi1 I1 F6'
_space_group_name_H-M_alt 'P 1'
_space_group_IT_number 1
_space_group_name_Hall 'P 1'
_cell_length_a 6.838
_cell_length_b 6.838
_cell_length_c 7.283
_cell_angle_alpha 62.00
_cell_angle_beta 62.00
_cell_angle_gamma 90.00
loop_
_atom_site_label
_atom_site_fract_x
_atom_site_fract_y
_atom_site_fract_z
Bi1 0.000 0.000 0.000
F1 0.229 0.771 0.000
F2 0.229 0.229 0.000
F3 0.771 0.229 0.000
F4 0.771 0.771 0.000
F5 0.796 0.796 0.407
F6 0.204 0.204 0.593
Rb1 0.250 0.750 0.500
Rb2 0.750 0.250 0.500
I1 0.500 0.500 0.000